Entry 1:
FeAsAu2 | GGA-PBE | optimized geometry

Output
Uncorrected energy in eV/atom: -4.661
Calculated volume in Å³/atom: 17.010
Calculated formation energy in eV per atom: 0.26
D(E_F) in states/eV/cell: 3.1

abc: 2.9597 4.7320 5.8609
angles: 55.99 90.00 90.00
With the nearest neighbours (Å) after each atom.
Atoms (fractional coordinates):
1 As 0.0000 0.0000 0.5000  4 Fe 2.79, 6 Au 2.93-2.94, 2 As 2.96
2 Au 0.0000 0.0000 0.0000  6 Au 2.79-2.96, 2 As 2.93, 4 Fe 2.94
3 Au 0.5000 0.5000 0.0000  6 Au 2.79-2.96, 2 Fe 2.93, 4 As 2.94
4 Fe 0.5000 0.5000 0.5000  4 As 2.79, 6 Au 2.93-2.94, 2 Fe 2.96

---

Entry 2:
Zn2PRu | GGA-PBE | optimized geometry

Output
Uncorrected energy in eV/atom: -4.221
Calculated volume in Å³/atom: 13.762
Calculated formation energy in eV per atom: 0.09
D(E_F) in states/eV/cell: 2.1

abc: 3.6432 3.6432 4.1473
angles: 90.00 90.00 90.00
With the nearest neighbours (Å) after each atom.
Atoms (fractional coordinates):
1 Zn 0.0000 0.5000 0.0000  4 Zn 2.58, 4 Ru 2.76, 4 P 2.76
2 Zn 0.5000 0.0000 0.0000  4 Zn 2.58, 4 Ru 2.76, 4 P 2.76
3 P 0.5000 0.5000 0.5000  4 Ru 2.58, 8 Zn 2.76
4 Ru 0.0000 0.0000 0.5000  4 P 2.58, 8 Zn 2.76

---

Entry 3:
Pa4TlS12 | GGA-PBE | optimized geometry

Output
Uncorrected energy in eV/atom: -6.361
Calculated volume in Å³/atom: 33.778
Uncorrected formation energy in eV/atom: -1.074
D(E_F) in states/eV/cell: 6.3

abc: 9.0692 9.0692 9.0692
angles: 109.47 109.47 109.47
With the nearest neighbours (Å) after each atom.
Atoms (fractional coordinates):
1 Pa 0.0000 0.5000 0.0000  6 S 2.62
2 Pa 0.5000 0.0000 0.0000  6 S 2.62
3 Pa 0.5000 0.5000 0.5000  6 S 2.62
4 Pa 0.0000 0.0000 0.5000  6 S 2.62
5 Tl 0.0000 0.0000 0.0000  12 S 3.66
6 S 0.7538 0.2486 0.0024  2 Pa 2.62
7 S 0.2486 0.4947 0.2462  2 Pa 2.62
8 S 0.9976 0.2462 0.7514  2 Pa 2.62
9 S 0.2486 0.0024 0.7538  2 Pa 2.62
10 S 0.0024 0.7538 0.2486  2 Pa 2.62
11 S 0.7514 0.5053 0.7538  2 Pa 2.62
12 S 0.4947 0.2462 0.2486  2 Pa 2.62
13 S 0.5053 0.7538 0.7514  2 Pa 2.62
14 S 0.7514 0.9976 0.2462  2 Pa 2.62
15 S 0.7538 0.7514 0.5053  2 Pa 2.62
16 S 0.2462 0.2486 0.4947  2 Pa 2.62
17 S 0.2462 0.7514 0.9976  2 Pa 2.62

---

Entry 4:
CaWBr2N | GGA-PBE | optimized geometry

Output
Uncorrected energy in eV/atom: -5.556
Calculated volume in Å³/atom: 22.815
Uncorrected formation energy in eV/atom: -0.231
D(E_F) in states/eV/cell: 3.1

abc: 5.4290 3.8704 5.4290
angles: 90.00 90.00 90.00
With the nearest neighbours (Å) after each atom.
Atoms (fractional coordinates):
1 Ca 0.5000 0.5000 0.5000  8 Br 3.33
2 Br 0.0000 0.0000 0.5000  2 W 2.71
3 Br 0.5000 0.0000 0.0000  2 W 2.71
4 W 0.0000 0.0000 0.0000  2 N 1.94
5 N 0.0000 0.5000 0.0000  2 W 1.94

---

Entry 5:
NdYAlCu | GGA-PBE | optimized geometry

Output
Uncorrected energy in eV/atom: -5.017
Calculated volume in Å³/atom: 24.005
Calculated formation energy in eV per atom: -0.25
D(E_F) in states/eV/cell: 4.4

abc: 5.1400 5.1400 5.1400
angles: 60.00 60.00 60.00
With the nearest neighbours (Å) after each atom.
Atoms (fractional coordinates):
1 Y 0.7500 0.7500 0.7500  4 Al 3.15, 4 Cu 3.15
2 Nd 0.2500 0.2500 0.2500  4 Al 3.15, 4 Cu 3.15
3 Al 0.5000 0.5000 0.5000  4 Y 3.15, 4 Nd 3.15
4 Cu 0.0000 0.0000 0.0000  4 Y 3.15, 4 Nd 3.15

---

Entry 6:
Tl2CoGeS4 | GGA-PBE | optimized geometry

Output
Uncorrected energy in eV/atom: -4.400
Calculated volume in Å³/atom: 27.619
Uncorrected formation energy in eV/atom: -0.279
D(E_F) in states/eV/cell: 2.7

abc: 5.9572 7.0912 11.9057
angles: 83.97 75.51 65.16
With the nearest neighbours (Å) after each atom.
Atoms (fractional coordinates):
1 Tl 0.1885 0.0000 0.6229  6 S 3.22-3.60
2 Tl 0.8115 0.0000 0.3771  6 S 3.22-3.60
3 Tl 0.5615 0.5000 0.8771  6 S 3.22-3.60
4 Tl 0.9385 0.5000 0.1229  6 S 3.22-3.60
5 Co 0.7500 0.5000 0.5000  4 S 2.30
6 Co 0.0000 0.0000 0.0000  4 S 2.30
7 Ge 0.2500 0.5000 0.5000  4 S 2.25
8 Ge 0.5000 0.0000 0.0000  4 S 2.25
9 S 0.3054 0.8022 0.0995  1 Ge 2.25, 1 Co 2.30
10 S 0.2072 0.1978 0.9005  1 Ge 2.25, 1 Co 2.30
11 S 0.8924 0.8022 0.9005  1 Ge 2.25, 1 Co 2.30
12 S 0.5950 0.1978 0.0995  1 Ge 2.25, 1 Co 2.30
13 S 0.4446 0.6978 0.4005  1 Ge 2.25, 1 Co 2.30
14 S 0.5428 0.3022 0.5995  1 Ge 2.25, 1 Co 2.30
15 S 0.8576 0.6978 0.5995  1 Ge 2.25, 1 Co 2.30
16 S 0.1550 0.3022 0.4005  1 Ge 2.25, 1 Co 2.30

---

Entry 7:
Li6Tl2Ge | GGA-PBE | optimized geometry

Output
Uncorrected energy in eV/atom: -2.521
Energy above the most stable polymorph in this dataset in eV/f.u.: 0.52
Calculated volume in Å³/atom: 18.864
Calculated formation energy in eV per atom: -0.21
D(E_F) in states/eV/cell: 4.5

abc: 2.9931 8.0915 8.0939
angles: 119.99 90.00 90.00
With the nearest neighbours (Å) after each atom.
Atoms (fractional coordinates):
1 Li 0.5000 0.6547 0.0000  1 Ge 2.79, 6 Li 2.98-2.99, 4 Tl 3.05
2 Li 0.5000 0.3449 0.3448  1 Ge 2.79, 6 Li 2.98-2.99, 4 Tl 3.04
3 Li 0.5000 0.0001 0.6552  1 Ge 2.79, 6 Li 2.98-2.99, 4 Tl 3.04
4 Li 0.0000 0.2841 0.0000  2 Ge 2.74, 2 Tl 2.92, 6 Li 2.98-2.99
5 Li 0.0000 0.7163 0.7164  2 Ge 2.74, 2 Tl 2.92, 6 Li 2.98-2.99
6 Li 0.0000 0.9999 0.2836  2 Ge 2.74, 2 Tl 2.92, 6 Li 2.98-2.99
7 Tl 0.0000 0.3332 0.6664  9 Li 2.92-3.05, 2 Tl 2.99
8 Tl 0.0000 0.6668 0.3336  9 Li 2.92-3.05, 2 Tl 2.99
9 Ge 0.5000 0.0001 0.0000  9 Li 2.74-2.79, 2 Ge 2.99

---

Entry 8:
BeCo2Tc | GGA-PBE | optimized geometry

Output
Uncorrected energy in eV/atom: -7.071
Energy above the most stable polymorph in this dataset in eV/f.u.: 0.69
Calculated volume in Å³/atom: 10.838
Calculated formation energy in eV per atom: 0.00
D(E_F) in states/eV/cell: 3.2

abc: 4.6369 4.6369 4.6369
angles: 145.83 128.47 63.29
With the nearest neighbours (Å) after each atom.
Atoms (fractional coordinates):
1 Be 0.7637 0.2637 0.5000  2 Co 2.13, 2 Tc 2.37
2 Co 0.9717 0.9717 0.0000  2 Be 2.13
3 Co 0.2468 0.7468 0.5000  4 Be 2.44, 4 Tc 2.54-2.71, 6 Co 2.56-2.72
4 Tc 0.5179 0.5179 0.0000  2 Be 2.37, 6 Co 2.46-2.54

---

Entry 9:
CsNdI2 | GGA-PBE | optimized geometry

Output
Uncorrected energy in eV/atom: -3.199
Energy above the most stable polymorph in this dataset in eV/f.u.: 0.02
Calculated volume in Å³/atom: 36.865
Uncorrected formation energy in eV/atom: -1.019
D(E_F) in states/eV/cell: 1.7

abc: 4.0306 4.0306 9.0768
angles: 90.00 90.00 90.00
With the nearest neighbours (Å) after each atom.
Atoms (fractional coordinates):
1 Cs 0.5000 0.5000 0.5000  8 I 3.92, 4 Cs 4.03
2 I 0.0000 0.0000 0.7967  4 Nd 3.40, 1 I 3.69
3 I 0.0000 0.0000 0.2033  4 Nd 3.40, 1 I 3.69
4 Nd 0.5000 0.5000 0.0000  8 I 3.40

---

Entry 10:
Er2PaAs3 | GGA-PBE | optimized geometry

Output
Uncorrected energy in eV/atom: -6.784
Calculated volume in Å³/atom: 24.029
Calculated formation energy in eV per atom: -1.36
D(E_F) in states/eV/cell: 4.8

abc: 4.0903 5.7673 7.0605
angles: 114.11 106.84 90.00
With the nearest neighbours (Å) after each atom.
Atoms (fractional coordinates):
1 Er 0.1674 0.6672 0.3344  6 As 2.88-2.89
2 Er 0.8326 0.3328 0.6656  6 As 2.88-2.89
3 Pa 0.5000 0.0000 0.0000  6 As 2.88
4 As 0.5000 0.5000 0.0000  2 Pa 2.88, 4 Er 2.89
5 As 0.1657 0.1657 0.3313  2 Pa 2.88, 4 Er 2.88-2.89
6 As 0.8343 0.8343 0.6687  2 Pa 2.88, 4 Er 2.88-2.89

---

Entry 11:
MgBPd3 | GGA-PBE | optimized geometry

Output
Uncorrected energy in eV/atom: -5.157
Energy above the most stable polymorph in this dataset in eV/f.u.: 0.49
Calculated volume in Å³/atom: 14.347
Calculated formation energy in eV per atom: -0.39
D(E_F) in states/eV/cell: 7.1

abc: 18.4669 5.3923 7.3183
angles: 90.00 156.81 90.00
With the nearest neighbours (Å) after each atom.
Atoms (fractional coordinates):
1 Mg 0.4210 0.7777 0.4313  1 B 2.62, 9 Pd 2.66-2.87
2 Mg 0.5790 0.2223 0.5687  1 B 2.62, 9 Pd 2.66-2.87
3 Mg 0.0790 0.2777 0.0687  1 B 2.62, 9 Pd 2.66-2.87
4 Mg 0.9210 0.7223 0.9313  1 B 2.62, 9 Pd 2.66-2.87
5 B 0.0879 0.3849 0.5147  5 Pd 2.12-2.27
6 B 0.9121 0.6151 0.4853  5 Pd 2.12-2.27
7 B 0.4121 0.8849 0.9853  5 Pd 2.12-2.27
8 B 0.5879 0.1151 0.0147  5 Pd 2.12-2.27
9 Pd 0.2068 0.0518 0.6762  2 B 2.13-2.16
10 Pd 0.7932 0.9482 0.3238  2 B 2.13-2.16
11 Pd 0.2932 0.5518 0.8238  2 B 2.13-2.16
12 Pd 0.7068 0.4482 0.1762  2 B 2.13-2.16
13 Pd 0.3311 0.2826 0.2929  2 B 2.27-2.43
14 Pd 0.6689 0.7174 0.7071  2 B 2.27-2.43
15 Pd 0.1689 0.7826 0.2071  2 B 2.27-2.43
16 Pd 0.8311 0.2174 0.7929  2 B 2.27-2.43
17 Pd 0.5564 0.7665 0.0842  2 B 2.12-2.16
18 Pd 0.4436 0.2335 0.9158  2 B 2.12-2.16
19 Pd 0.9436 0.2665 0.4158  2 B 2.12-2.16
20 Pd 0.0564 0.7335 0.5842  2 B 2.12-2.16

---

Entry 12:
CoTcSn | GGA-PBE | optimized geometry

Output
Uncorrected energy in eV/atom: -7.014
Calculated volume in Å³/atom: 15.101
Calculated formation energy in eV per atom: 0.14
D(E_F) in states/eV/cell: 5.3

abc: 3.1025 3.1025 9.4132
angles: 90.00 90.00 90.00
With the nearest neighbours (Å) after each atom.
Atoms (fractional coordinates):
1 Co 0.0000 0.5000 0.5726  4 Co 2.58, 5 Sn 2.63-2.82
2 Co 0.5000 0.0000 0.4274  4 Co 2.58, 5 Sn 2.63-2.82
3 Sn 0.5000 0.0000 0.7268  5 Co 2.63-2.82, 4 Tc 2.82
4 Sn 0.0000 0.5000 0.2732  5 Co 2.63-2.82, 4 Tc 2.82
5 Tc 0.0000 0.5000 0.9158  4 Tc 2.71, 4 Sn 2.82
6 Tc 0.5000 0.0000 0.0842  4 Tc 2.71, 4 Sn 2.82